# La2CoSiO2, relaxed, DFT PBE+U
data_La2CoSiO2
_chemical_formula_sum 'La2 Co1 Si1 O2'
_space_group_name_H-M_alt 'P 4/m m m'
_space_group_IT_number 123
_space_group_name_Hall '-P 4 2'
_cell_length_a 3.948
_cell_length_b 3.948
_cell_length_c 6.910
_cell_angle_alpha 90.00
_cell_angle_beta 90.00
_cell_angle_gamma 90.00
loop_
_atom_site_label
_atom_site_type_symbol
_atom_site_fract_x
_atom_site_fract_y
_atom_site_fract_z
La1 La 0.000 0.000 0.239
Co1 Co 0.500 0.500 0.000
Si1 Si 0.500 0.500 0.500
O1 O 0.000 0.500 0.000
# Total DFT energy (no corrections) in eV/cell: -39.6
# ρ in g/cm3: 6.12